# 1
PBE-GGA K4MgSi, optimized geometry; raw formation energy = 0.60 eV per atom
1.0
0.0000 5.0068 5.0068
5.0068 0.0000 5.0068
5.0068 5.0068 0.0000
K Mg Si
4 1 1
direct
0.3762 0.3762 0.3762
0.3762 0.3762 0.8715
0.3762 0.8715 0.3762
0.8715 0.3762 0.3762
0.0000 0.0000 0.0000
0.7500 0.7500 0.7500

# 2
PBE-GGA LiNd2AsO5, optimized geometry; raw formation energy = -2.16 eV per atom
1.0
6.7762 0.0000 0.0000
0.0000 6.7762 0.0000
0.0000 0.0000 5.9676
Li Nd As O
2 4 2 10
direct
0.0000 0.0000 0.0000
0.5000 0.5000 0.0000
0.1757 0.3243 0.5000
0.3243 0.8243 0.5000
0.6757 0.1757 0.5000
0.8243 0.6757 0.5000
0.0000 0.5000 0.0000
0.5000 0.0000 0.0000
0.0000 0.0000 0.5000
0.1392 0.6392 0.2483
0.1392 0.6392 0.7517
0.3608 0.1392 0.2483
0.3608 0.1392 0.7517
0.5000 0.5000 0.5000
0.6392 0.8608 0.2483
0.6392 0.8608 0.7517
0.8608 0.3608 0.2483
0.8608 0.3608 0.7517

# 3
PBE-GGA Na5Tl12Pd2, optimized geometry; electronic total energy = -2.46 eV per atom
1.0
8.6121 -3.6048 0.0000
8.6121 3.6048 0.0000
-1.6931 0.0000 8.6023
Na Tl Pd
5 12 2
direct
0.0000 0.0000 0.0000
0.2359 0.2359 0.7189
0.3260 0.3260 0.3173
0.6740 0.6740 0.6827
0.7641 0.7641 0.2811
0.0541 0.0541 0.6831
0.0792 0.6396 0.6180
0.0922 0.5977 0.9924
0.3604 0.9208 0.3820
0.4023 0.9078 0.0076
0.4996 0.4996 0.1965
0.5004 0.5004 0.8035
0.5977 0.0922 0.9924
0.6396 0.0792 0.6180
0.9078 0.4023 0.0076
0.9208 0.3604 0.3820
0.9459 0.9459 0.3169
0.3116 0.6884 0.5000
0.6884 0.3116 0.5000